Entry from Alexandria: crystalline K3Na3Tl2 at its relaxed geometry (PBE).

It has space group P-1 (No. 2), with a = 4.945 Å, b = 6.972 Å, c = 11.365 Å, α = 105.17°, β = 102.56° and γ = 90.01°. The inequivalent atoms are K at (0.000, 0.000, 0.000), K at (0.165, 0.548, 0.330), Na at (0.366, 0.987, 0.731), Na at (0.500, 0.500, 0.000) and Tl at (0.228, 0.108, 0.456).

Its total DFT energy (no corrections) is -12.15 eV/cell. The value obtained for the magnetization is 0.0 μB/f.u. The value obtained for the density of states at the Fermi level is 0.69 states/eV/atom. The energy of formation is -21 meV per atom.

Entry from Alexandria: crystalline ZrGeAsSe2 at its relaxed geometry (PBE).

It has space group P4/mmm (No. 123), with a = 5.164 Å, b = 5.164 Å, c = 5.279 Å, α = 90.00°, β = 90.00° and γ = 90.00°. The inequivalent atoms are Zr at (0.000, 0.000, 0.000), Ge at (0.500, 0.500, 0.500), As at (0.000, 0.000, 0.500) and Se at (0.000, 0.500, 0.000).

Its total DFT energy (no corrections) is -24.84 eV/cell. The value obtained for the magnetization is 0.0 μB/f.u. Its raw formation energy is -0.01 eV per atom. The value obtained for the density of states at the Fermi level is 0.43 states/eV/atom.